Computed, not measured: UV2CrO6 after structural relaxation at the GGA+U level of DFT.

POSCAR file:
```
UV2CrO6
1.0
-1.8883 0.1310 -5.0255
-4.7660 -2.1988 -1.1363
-4.3888 3.5372 -1.1285
O U Cr V
6 1 1 2
Direct
0.6250 0.2059 0.2590
0.7217 0.0982 0.7474
0.0982 0.4327 0.7474
0.4327 0.7216 0.7474
0.9101 0.6251 0.2589
0.2059 0.9101 0.2589
0.3153 0.3153 0.0539
0.8188 0.8188 0.5435
0.0173 0.0173 0.9480
0.5164 0.5164 0.4507
```

Output
Magnetic moment = 10.00 μB per formula unit
DFT total energy = -86.3 eV/cell
Space group = R3 (146)